Entry from Alexandria: crystalline RbCoN2 at its relaxed geometry (PBE-GGA).

Cell lengths 6.0599, 6.0599, 6.0599 Å; angles 90.00, 90.00, 90.00 degrees
Last column: nearest neighbours and their distance in Å.
Space group Fm-3m (No. 225)
One atom of each set of equivalent atoms:
Rb 0.0000 0.0000 0.0000 (multiplicity 4)  8 N 2.62
Co 0.0000 0.0000 0.5000 (multiplicity 4)  8 N 2.62
N 0.2500 0.2500 0.2500 (multiplicity 8)  4 Co 2.62, 4 Rb 2.62

Calculated values
Formation energy without anion corrections (eV/atom): 2.173
Mass density (Mg/m³): 5.15
Polymorph energy (0 for the lowest one) (meV per atom): 1868
Crystal system: cubic